Entry 1:
K2MgAu | PBE | relaxed

a b c (Å): 7.936 7.936 7.936
angles (deg): 90.00 90.00 90.00
Space group F-43m (No. 216)
One atom of each set of equivalent atoms:
K  0.000  0.000  0.000
K  0.250  0.250  0.250
Mg  0.250  0.250  0.750
Au  0.000  0.000  0.500

---

Entry 2:
KMgAu2 | PBE | relaxed

a b c (Å): 5.391 5.391 18.352
angles (deg): 90.00 90.00 90.00
Space group I4_1/amd (No. 141, origin choice 2)
One atom of each set of equivalent atoms:
K  0.000  0.250  0.375
Mg  0.000  0.250  0.875
Au  0.000  0.000  0.000

---

Entry 3:
KMg3Au | PBE | relaxed

Calculated values
The relative energy among the computed polymorphs comes out at 0 meV/atom.

a b c (Å): 5.275 5.275 5.275
angles (deg): 90.00 90.00 90.00
Space group Pm-3m (No. 221)
One atom of each set of equivalent atoms:
K  0.000  0.000  0.000
Mg  0.000  0.500  0.500
Au  0.500  0.500  0.500

---

Entry 4:
KMgAu | PBE | relaxed

Calculated values
The relative energy among the computed polymorphs comes out at 115 meV/atom.

a b c (Å): 4.6761 4.6761 5.0273
angles (deg): 90.00 90.00 120.00
Space group P3m1 (No. 156)
One atom of each set of equivalent atoms:
K  0.0000  0.0000  0.0000
Mg  0.3333  0.6667  0.4999
Au  0.6667  0.3333  0.5012

---

no.,energy of formation from the pure elements (eV per formula unit)
1,0.09
2,-0.95
3,-0.88
4,-0.72